Compound: CrH2S
Source: the Alexandria database
Functional: PBE
Structure: relaxed

Geometry as POSCAR:
```
CrH2S
1.0
1.940 1.120 2.857
-1.940 1.120 2.857
0.000 -2.240 2.857
Cr H S
1 2 1
Direct
0.000 0.000 0.000 Cr
0.201 0.201 0.201 H
0.799 0.799 0.799 H
0.500 0.500 0.500 S
```

Raw total energy in eV per atom: -4.610
Volume in Å³ per atom: 9.31
Excess energy over the best structure of this formula in the dataset in meV/atom: 232

Compound: LiPmPt2
Source: the Alexandria database
Functional: PBE
Structure: relaxed

Geometry as POSCAR:
```
LiPmPt2
1.0
0.000 3.384 3.384
3.384 0.000 3.384
3.384 3.384 0.000
Li Pm Pt
1 1 2
Direct
0.000 0.000 0.000 Li
0.500 0.500 0.500 Pm
0.250 0.250 0.250 Pt
0.750 0.750 0.750 Pt
```

Raw total energy in eV per atom: -5.494
Energy of formation from the pure elements in eV/atom: -0.81
Volume in Å³ per atom: 19.38
Excess energy over the best structure of this formula in the dataset in meV/atom: 81

Compound: PrTlRhAu
Source: the Alexandria database
Functional: PBE
Structure: relaxed

Geometry as POSCAR:
```
PrTlRhAu
1.0
0.000 3.535 3.535
3.535 0.000 3.535
3.535 3.535 0.000
Pr Tl Rh Au
1 1 1 1
Direct
0.000 0.000 0.000 Pr
0.500 0.500 0.500 Tl
0.750 0.750 0.750 Rh
0.250 0.250 0.250 Au
```

Raw total energy in eV per atom: -4.805
Energy of formation from the pure elements in eV/atom: -0.36
Volume in Å³ per atom: 22.09

Compound: SrVAu
Source: the Alexandria database
Functional: PBE
Structure: relaxed

Geometry as POSCAR:
```
SrVAu
1.0
4.903 -3.137 0.000
4.903 3.137 0.000
-3.094 0.000 4.564
Sr V Au
2 2 2
Direct
0.128 0.128 0.378 Sr
0.872 0.872 0.622 Sr
0.500 0.500 0.000 V
0.500 0.500 0.500 V
0.000 0.500 0.000 Au
0.500 0.000 0.000 Au
```

Raw total energy in eV per atom: -4.667
Energy of formation from the pure elements in eV/atom: 0.03
Volume in Å³ per atom: 23.40
Excess energy over the best structure of this formula in the dataset in meV/atom: 56

Compound: PuUReRu
Source: the Alexandria database
Functional: PBE
Structure: relaxed

Geometry as POSCAR:
```
PuUReRu
1.0
0.000 3.271 3.271
3.271 0.000 3.271
3.271 3.271 0.000
Pu U Re Ru
1 1 1 1
Direct
0.000 0.000 0.000 Pu
0.250 0.250 0.250 U
0.500 0.500 0.500 Re
0.750 0.750 0.750 Ru
```

Raw total energy in eV per atom: -11.834
Energy of formation from the pure elements in eV/atom: 0.00
Volume in Å³ per atom: 17.51

Compound: ScCd
Source: the Alexandria database
Functional: PBE
Structure: relaxed

Geometry as POSCAR:
```
ScCd
1.0
8.022 0.000 0.000
0.000 8.022 0.000
0.000 0.000 8.022
Sc Cd
6 6
Direct
0.000 0.250 0.500 Sc
0.000 0.750 0.500 Sc
0.250 0.500 0.000 Sc
0.500 0.000 0.250 Sc
0.500 0.000 0.750 Sc
0.750 0.500 0.000 Sc
0.000 0.500 0.250 Cd
0.000 0.500 0.750 Cd
0.250 0.000 0.500 Cd
0.500 0.250 0.000 Cd
0.500 0.750 0.000 Cd
0.750 0.000 0.500 Cd
```

Raw total energy in eV per atom: -2.691
Energy of formation from the pure elements in eV/atom: 0.93
Volume in Å³ per atom: 43.02

Compound: La6P2PdCl3
Source: the Alexandria database
Functional: PBE
Structure: relaxed

Geometry as POSCAR:
```
La6P2PdCl3
1.0
9.323 -2.081 0.000
9.323 2.081 0.000
-1.808 0.000 8.424
La P Pd Cl
6 2 1 3
Direct
0.009 0.009 0.235 La
0.328 0.328 0.431 La
0.328 0.328 0.904 La
0.672 0.672 0.096 La
0.672 0.672 0.569 La
0.991 0.991 0.765 La
0.169 0.169 0.332 P
0.831 0.831 0.668 P
0.500 0.500 0.000 Pd
0.161 0.161 0.824 Cl
0.500 0.500 0.500 Cl
0.839 0.839 0.176 Cl
```

Uncorrected formation energy in eV per atom: -1.515
Raw total energy in eV per atom: -5.775
Volume in Å³ per atom: 27.24

Compound: BiH3Rh
Source: the Alexandria database
Functional: PBE
Structure: relaxed

Geometry as POSCAR:
```
BiH3Rh
1.0
3.488 0.000 0.000
0.395 3.819 0.000
1.359 0.151 8.603
Bi H Rh
2 6 2
Direct
0.063 0.177 0.168 Bi
0.937 0.823 0.832 Bi
0.046 0.726 0.403 H
0.438 0.367 0.816 H
0.479 0.768 0.573 H
0.521 0.232 0.427 H
0.562 0.633 0.184 H
0.954 0.274 0.597 H
0.440 0.236 0.634 Rh
0.560 0.764 0.366 Rh
```

Raw total energy in eV per atom: -4.159
Volume in Å³ per atom: 11.46
Excess energy over the best structure of this formula in the dataset in meV/atom: 36

Compound: Th2Co2Pd
Source: the Alexandria database
Functional: PBE
Structure: relaxed

Geometry as POSCAR:
```
Th2Co2Pd
1.0
7.248 0.000 0.000
0.000 7.248 0.000
0.000 0.000 3.683
Th Co Pd
4 4 2
Direct
0.178 0.322 0.000 Th
0.322 0.822 0.000 Th
0.678 0.178 0.000 Th
0.822 0.678 0.000 Th
0.125 0.625 0.500 Co
0.375 0.125 0.500 Co
0.625 0.875 0.500 Co
0.875 0.375 0.500 Co
0.000 0.000 0.500 Pd
0.500 0.500 0.500 Pd
```

Raw total energy in eV per atom: -7.324
Energy of formation from the pure elements in eV/atom: -0.48
Volume in Å³ per atom: 19.35

Compound: Na3Tl5Pb3
Source: the Alexandria database
Functional: PBE
Structure: relaxed

Geometry as POSCAR:
```
Na3Tl5Pb3
1.0
9.757 0.000 0.000
-4.879 8.450 0.000
0.000 0.000 5.686
Na Tl Pb
3 5 3
Direct
0.000 0.501 0.000 Na
0.499 0.499 0.000 Na
0.501 0.000 0.000 Na
0.000 0.294 0.500 Tl
0.294 0.000 0.500 Tl
0.333 0.667 0.500 Tl
0.667 0.333 0.500 Tl
0.706 0.706 0.500 Tl
0.000 0.657 0.500 Pb
0.343 0.343 0.500 Pb
0.657 0.000 0.500 Pb
```

Raw total energy in eV per atom: -2.309
Energy of formation from the pure elements in eV/atom: 0.14
Volume in Å³ per atom: 42.62

Compound: Na2Np2I2O5
Source: the Alexandria database
Functional: PBE
Structure: relaxed

Geometry as POSCAR:
```
Na2Np2I2O5
1.0
-2.111 2.111 14.137
2.111 -2.111 14.137
2.111 2.111 -14.137
Na Np I O
2 2 2 5
Direct
0.140 0.140 0.000 Na
0.860 0.860 0.000 Na
0.427 0.427 0.000 Np
0.573 0.573 0.000 Np
0.315 0.315 0.000 I
0.685 0.685 0.000 I
0.082 0.582 0.500 O
0.418 0.918 0.500 O
0.500 0.500 0.000 O
0.582 0.082 0.500 O
0.918 0.418 0.500 O
```

Uncorrected formation energy in eV per atom: -2.240
Raw total energy in eV per atom: -7.369
Volume in Å³ per atom: 22.90

Compound: Ac3MgGa2Hg6
Source: the Alexandria database
Functional: PBE
Structure: relaxed

Geometry as POSCAR:
```
Ac3MgGa2Hg6
1.0
6.737 0.000 0.000
-3.368 5.834 0.000
0.000 0.000 8.875
Ac Mg Ga Hg
3 1 2 6
Direct
0.000 0.000 0.000 Ac
0.333 0.667 0.647 Ac
0.667 0.333 0.353 Ac
0.000 0.000 0.500 Mg
0.333 0.667 0.021 Ga
0.667 0.333 0.979 Ga
0.181 0.361 0.287 Hg
0.181 0.819 0.287 Hg
0.361 0.181 0.713 Hg
0.639 0.819 0.287 Hg
0.819 0.181 0.713 Hg
0.819 0.639 0.713 Hg
```

Raw total energy in eV per atom: -2.079
Energy of formation from the pure elements in eV/atom: -0.26
Volume in Å³ per atom: 29.07

Compound: PrY2Sn
Source: the Alexandria database
Functional: PBE
Structure: relaxed

Geometry as POSCAR:
```
PrY2Sn
1.0
0.000 3.880 3.880
3.880 0.000 3.880
3.880 3.880 0.000
Pr Y Sn
1 2 1
Direct
0.000 0.000 0.000 Pr
0.250 0.250 0.250 Y
0.750 0.750 0.750 Y
0.500 0.500 0.500 Sn
```

Raw total energy in eV per atom: -5.663
Energy of formation from the pure elements in eV/atom: -0.23
Volume in Å³ per atom: 29.20
Excess energy over the best structure of this formula in the dataset in meV/atom: 194

Compound: LaCe2Mn
Source: the Alexandria database
Functional: PBE
Structure: relaxed

Geometry as POSCAR:
```
LaCe2Mn
1.0
1.932 1.115 8.515
-1.932 1.115 8.515
0.000 -2.230 8.515
La Ce Mn
1 2 1
Direct
0.000 0.000 0.000 La
0.550 0.550 0.550 Ce
0.777 0.777 0.777 Ce
0.140 0.140 0.140 Mn
```

Raw total energy in eV per atom: -6.301
Energy of formation from the pure elements in eV/atom: 0.19
Volume in Å³ per atom: 27.51
Excess energy over the best structure of this formula in the dataset in meV/atom: 5

Compound: Tb2Pu3ThTe6
Source: the Alexandria database
Functional: PBE
Structure: relaxed

Geometry as POSCAR:
```
Tb2Pu3ThTe6
1.0
9.648 -2.189 0.000
9.648 2.189 0.000
-2.152 0.000 8.636
Tb Pu Th Te
2 3 1 6
Direct
0.166 0.166 0.332 Tb
0.834 0.834 0.668 Tb
0.164 0.164 0.833 Pu
0.500 0.500 0.500 Pu
0.836 0.836 0.167 Pu
0.500 0.500 0.000 Th
0.002 0.002 0.257 Te
0.330 0.330 0.913 Te
0.332 0.332 0.419 Te
0.668 0.668 0.581 Te
0.670 0.670 0.087 Te
0.998 0.998 0.743 Te
```

Uncorrected formation energy in eV per atom: -1.170
Raw total energy in eV per atom: -7.714
Volume in Å³ per atom: 30.40

Compound: NpCoP2Ru2
Source: the Alexandria database
Functional: PBE
Structure: relaxed

Geometry as POSCAR:
```
NpCoP2Ru2
1.0
3.821 0.000 0.000
0.000 7.743 0.000
0.000 0.000 5.979
Np Co P Ru
2 2 4 4
Direct
0.000 0.051 0.000 Np
0.000 0.949 0.500 Np
0.500 0.242 0.658 Co
0.500 0.758 0.158 Co
0.000 0.366 0.771 P
0.000 0.634 0.271 P
0.500 0.187 0.293 P
0.500 0.813 0.793 P
0.000 0.347 0.380 Ru
0.000 0.653 0.880 Ru
0.500 0.415 0.038 Ru
0.500 0.585 0.538 Ru
```

Raw total energy in eV per atom: -8.765
Energy of formation from the pure elements in eV/atom: -0.53
Volume in Å³ per atom: 14.74

Compound: Nd2Dy5Ho4
Source: the Alexandria database
Functional: PBE
Structure: relaxed

Geometry as POSCAR:
```
Nd2Dy5Ho4
1.0
-1.746 4.512 11.621
1.746 -4.512 11.621
1.746 4.512 -11.621
Nd Dy Ho
2 5 4
Direct
0.232 0.232 0.000 Nd
0.768 0.768 0.000 Nd
0.163 0.358 0.805 Dy
0.446 0.642 0.805 Dy
0.500 0.000 0.500 Dy
0.554 0.358 0.195 Dy
0.837 0.642 0.195 Dy
0.097 0.097 0.000 Ho
0.190 0.500 0.690 Ho
0.810 0.500 0.310 Ho
0.903 0.903 0.000 Ho
```

Raw total energy in eV per atom: -4.420
Energy of formation from the pure elements in eV/atom: 0.20
Volume in Å³ per atom: 33.28
Excess energy over the best structure of this formula in the dataset in meV/atom: 52

Compound: CaMgSe2
Source: the Alexandria database
Functional: PBE
Structure: relaxed

Geometry as POSCAR:
```
CaMgSe2
1.0
4.075 0.000 0.000
0.000 4.075 0.000
0.000 0.000 5.770
Ca Mg Se
1 1 2
Direct
0.000 0.000 0.000 Ca
0.500 0.500 0.500 Mg
0.000 0.000 0.500 Se
0.500 0.500 0.000 Se
```

Uncorrected formation energy in eV per atom: -1.578
Raw total energy in eV per atom: -4.219
Volume in Å³ per atom: 23.95

Compound: Pr6NdPb
Source: the Alexandria database
Functional: PBE
Structure: relaxed

Geometry as POSCAR:
```
Pr6NdPb
1.0
4.609 2.661 3.757
-4.609 2.661 3.757
0.000 -5.321 3.757
Pr Nd Pb
6 1 1
Direct
0.000 0.258 0.500 Pr
0.000 0.742 0.500 Pr
0.258 0.500 0.000 Pr
0.500 0.000 0.258 Pr
0.500 0.000 0.742 Pr
0.742 0.500 0.000 Pr
0.000 0.000 0.000 Nd
0.500 0.500 0.500 Pb
```

Raw total energy in eV per atom: -4.718
Energy of formation from the pure elements in eV/atom: -0.07
Volume in Å³ per atom: 34.54
Excess energy over the best structure of this formula in the dataset in meV/atom: 72

Compound: Ac2SeBr
Source: the Alexandria database
Functional: PBE
Structure: relaxed

Geometry as POSCAR:
```
Ac2SeBr
1.0
2.071 1.196 8.870
-2.071 1.196 8.870
0.000 -2.392 8.870
Ac Se Br
2 1 1
Direct
0.000 0.000 0.000 Ac
0.183 0.183 0.183 Ac
0.590 0.590 0.590 Se
0.425 0.425 0.425 Br
```

Uncorrected formation energy in eV per atom: -1.463
Raw total energy in eV per atom: -4.807
Volume in Å³ per atom: 32.96
Excess energy over the best structure of this formula in the dataset in meV/atom: 0

Compound: CrH
Source: the Alexandria database
Functional: PBE
Structure: relaxed

Geometry as POSCAR:
```
CrH
1.0
4.733 0.000 0.000
0.000 4.733 0.000
0.000 0.000 4.733
Cr H
6 6
Direct
0.000 0.250 0.500 Cr
0.000 0.750 0.500 Cr
0.250 0.500 0.000 Cr
0.500 0.000 0.250 Cr
0.500 0.000 0.750 Cr
0.750 0.500 0.000 Cr
0.000 0.500 0.250 H
0.000 0.500 0.750 H
0.250 0.000 0.500 H
0.500 0.250 0.000 H
0.500 0.750 0.000 H
0.750 0.000 0.500 H
```

Raw total energy in eV per atom: -6.016
Volume in Å³ per atom: 8.84

Compound: HfTlTe2
Source: the Alexandria database
Functional: PBE
Structure: relaxed

Geometry as POSCAR:
```
HfTlTe2
1.0
7.985 0.000 0.000
0.000 5.172 0.000
0.000 0.000 12.315
Hf Tl Te
4 4 8
Direct
0.087 0.250 0.087 Hf
0.413 0.750 0.587 Hf
0.587 0.250 0.413 Hf
0.913 0.750 0.913 Hf
0.192 0.750 0.337 Tl
0.308 0.250 0.837 Tl
0.692 0.750 0.163 Tl
0.808 0.250 0.663 Tl
0.081 0.750 0.717 Te
0.213 0.750 0.039 Te
0.287 0.250 0.539 Te
0.419 0.250 0.217 Te
0.581 0.750 0.783 Te
0.713 0.750 0.461 Te
0.787 0.250 0.961 Te
0.919 0.250 0.283 Te
```

Uncorrected formation energy in eV per atom: -0.449
Raw total energy in eV per atom: -5.099
Volume in Å³ per atom: 31.79

Compound: BeRe2Ru
Source: the Alexandria database
Functional: PBE
Structure: relaxed

Geometry as POSCAR:
```
BeRe2Ru
1.0
1.475 -2.197 0.000
1.475 2.197 0.000
0.000 0.000 8.382
Be Re Ru
1 2 1
Direct
0.000 0.000 0.000 Be
0.500 0.500 0.233 Re
0.500 0.500 0.767 Re
0.000 0.000 0.500 Ru
```

Raw total energy in eV per atom: -9.188
Energy of formation from the pure elements in eV/atom: 0.29
Volume in Å³ per atom: 13.58
Excess energy over the best structure of this formula in the dataset in meV/atom: 357

Compound: Fe2MoCl
Source: the Alexandria database
Functional: PBE
Structure: relaxed

Geometry as POSCAR:
```
Fe2MoCl
1.0
-2.706 2.706 4.647
2.706 -2.706 4.647
2.706 2.706 -4.647
Fe Mo Cl
4 2 2
Direct
0.105 0.625 0.980 Fe
0.375 0.355 0.480 Fe
0.645 0.125 0.020 Fe
0.875 0.895 0.520 Fe
0.250 0.750 0.500 Mo
0.500 0.500 0.000 Mo
0.000 0.000 0.000 Cl
0.750 0.250 0.500 Cl
```

Uncorrected formation energy in eV per atom: 0.898
Raw total energy in eV per atom: -6.502
Volume in Å³ per atom: 17.01
Excess energy over the best structure of this formula in the dataset in meV/atom: 726